Arrangement one

Material: Mn2SbAs2
Method: DFT, PBE-GGA
State: relaxed

a b c (Å): 4.2499 4.2499 9.2137
angles (deg): 90.00 90.00 90.00
Last column: nearest neighbours and their distance in Å.
Space group I4/mmm (No. 139)
Unique sites:
Mn 0.0000 0.5000 0.2500 [4 per cell]  4 As 2.37
Sb 0.0000 0.0000 0.0000 [2 per cell]  8 Mn 3.13, 10 As 3.26-3.35
As 0.0000 0.0000 0.3634 [4 per cell]  4 Mn 2.37, 1 As 2.52

The total magnetization comes out at 2.3 Bohr magnetons per cell.


Arrangement two

Material: Mn2SbAs2
Method: DFT, PBE-GGA
State: relaxed

a b c (Å): 7.4476 7.4476 2.8967
angles (deg): 90.00 90.00 90.00
Last column: nearest neighbours and their distance in Å.
Space group P4/mbm (No. 127)
Unique sites:
Mn 0.1415 0.3585 0.0000 [4 per cell]  6 As 2.53-2.75
Sb 0.0000 0.0000 0.5000 [2 per cell]  4 As 2.89, 2 Sb 2.90, 8 Mn 3.21
As 0.1367 0.6367 0.5000 [4 per cell]  6 Mn 2.53-2.75

The total magnetization comes out at 0.0 Bohr magnetons per cell.


Most stable structure: arrangement one


Arrangement one

Material: MnSb2TeAs
Method: DFT, PBE-GGA
State: relaxed

a b c (Å): 5.2514 5.2514 5.4350
angles (deg): 90.00 90.00 90.00
Last column: nearest neighbours and their distance in Å.
Space group P4/mmm (No. 123)
Unique sites:
Mn 0.0000 0.0000 0.0000 [1 per cell]  4 Te 3.71, 8 Sb 3.78
Sb 0.0000 0.5000 0.5000 [2 per cell]  2 As 2.63
Te 0.5000 0.5000 0.0000 [1 per cell]  2 As 2.72
As 0.5000 0.5000 0.5000 [1 per cell]  4 Sb 2.63, 2 Te 2.72

The total magnetization comes out at 0.2 Bohr magnetons per cell.


Arrangement two

Material: MnSb2TeAs
Method: DFT, PBE-GGA
State: relaxed

a b c (Å): 4.9574 4.9574 5.0051
angles (deg): 90.00 90.00 90.00
Last column: nearest neighbours and their distance in Å.
Space group P4/mmm (No. 123)
Unique sites:
Mn 0.0000 0.0000 0.0000 [1 per cell]  4 Sb 2.48, 2 Te 2.50
Sb 0.0000 0.5000 0.0000 [2 per cell]  2 Mn 2.48
Te 0.0000 0.0000 0.5000 [1 per cell]  2 Mn 2.50
As 0.5000 0.5000 0.5000 [1 per cell]  4 Te 3.51, 8 Sb 3.52

The total magnetization comes out at 0.9 Bohr magnetons per cell.


Most stable structure: arrangement two


Arrangement one

Material: ScMnAs2
Method: DFT, PBE-GGA
State: relaxed

a b c (Å): 4.8876 4.8876 2.9429
angles (deg): 90.00 90.00 90.00
Last column: nearest neighbours and their distance in Å.
Space group P4/mmm (No. 123)
Unique sites:
Sc 0.0000 0.0000 0.0000 [1 per cell]  8 As 2.85, 2 Sc 2.94
Mn 0.5000 0.5000 0.0000 [1 per cell]  8 As 2.85, 2 Mn 2.94
As 0.0000 0.5000 0.5000 [2 per cell]  4 Mn 2.85, 4 Sc 2.85, 2 As 2.94

The total magnetization comes out at 3.6 Bohr magnetons per cell.


Arrangement two

Material: ScMnAs2
Method: DFT, PBE-GGA
State: relaxed

a b c (Å): 3.8155 3.8155 17.6598
angles (deg): 90.00 90.00 120.00
Last column: nearest neighbours and their distance in Å.
Space group R-3m (No. 166, hexagonal axes)
Unique sites:
Sc 0.0000 0.0000 0.0000 [3 per cell]  6 As 2.73
Mn 0.0000 0.0000 0.5000 [3 per cell]  6 As 2.58
As 0.0000 0.0000 0.2422 [6 per cell]  3 Mn 2.58, 3 Sc 2.73

The total magnetization comes out at 10.0 Bohr magnetons per cell.


Most stable structure: arrangement two


Arrangement one

Material: ScMnAs2
Method: DFT, PBE-GGA
State: relaxed

a b c (Å): 3.2407 3.6407 6.2486
angles (deg): 90.00 98.49 90.00
Last column: nearest neighbours and their distance in Å.
Space group P2/m (No. 10)
Unique sites:
Sc 0.0000 0.0000 0.0000 [1 per cell]  4 As 2.73
Mn 0.5000 0.0000 0.5000 [1 per cell]  4 As 2.50
As 0.3347 0.5000 0.7479 [2 per cell]  2 Mn 2.50, 2 Sc 2.73

The total magnetization comes out at 3.4 Bohr magnetons per cell.


Arrangement two

Material: ScMnAs2
Method: DFT, PBE-GGA
State: relaxed

a b c (Å): 3.7195 3.7195 18.0041
angles (deg): 90.00 90.00 120.00
Last column: nearest neighbours and their distance in Å.
Space group R3m (No. 160, hexagonal axes)
Unique sites:
Sc 0.0000 0.0000 0.0000 [3 per cell]  6 As 2.66-2.76
Mn 0.0000 0.0000 0.8260 [3 per cell]  6 As 2.51-2.56
As 0.0000 0.0000 0.4210 [3 per cell]  3 Mn 2.51, 3 Sc 2.66, 1 As 2.69
As 0.0000 0.0000 0.5704 [3 per cell]  3 Mn 2.56, 1 As 2.69, 3 Sc 2.76

The total magnetization comes out at 6.8 Bohr magnetons per cell.


Most stable structure: arrangement two


Arrangement one

Material: ScMnAs2
Method: DFT, PBE-GGA
State: relaxed

a b c (Å): 5.6375 5.6375 12.7852
angles (deg): 90.00 90.00 90.00
Last column: nearest neighbours and their distance in Å.
Space group I-42d (No. 122)
Unique sites:
Sc 0.0000 0.0000 0.0000 [4 per cell]  4 As 2.66
Mn 0.0000 0.0000 0.5000 [4 per cell]  4 As 2.46
As 0.2166 0.2500 0.6250 [8 per cell]  2 Mn 2.46, 2 Sc 2.66

The total magnetization comes out at 16.0 Bohr magnetons per cell.


Arrangement two

Material: ScMnAs2
Method: DFT, PBE-GGA
State: relaxed

a b c (Å): 4.5271 4.5271 6.8829
angles (deg): 90.00 90.00 90.00
Last column: nearest neighbours and their distance in Å.
Space group I4/mmm (No. 139)
Unique sites:
Sc 0.0000 0.0000 0.0000 [2 per cell]  8 As 2.84
Mn 0.0000 0.0000 0.5000 [2 per cell]  8 As 2.84
As 0.0000 0.5000 0.2500 [4 per cell]  4 Mn 2.84, 4 Sc 2.84

The total magnetization comes out at 6.9 Bohr magnetons per cell.


Most stable structure: arrangement two


Arrangement one

Material: ScMn3As
Method: DFT, PBE-GGA
State: relaxed

a b c (Å): 4.5455 4.5455 4.5455
angles (deg): 90.00 90.00 90.00
Last column: nearest neighbours and their distance in Å.
Space group Pm-3m (No. 221)
Unique sites:
Sc 0.0000 0.0000 0.0000 [1 per cell]  12 Mn 3.21
Mn 0.0000 0.5000 0.5000 [3 per cell]  2 As 2.27
As 0.5000 0.5000 0.5000 [1 per cell]  6 Mn 2.27

The total magnetization comes out at 8.7 Bohr magnetons per cell.


Arrangement two

Material: ScMn3As
Method: DFT, PBE-GGA
State: relaxed

a b c (Å): 4.6563 4.6563 4.6563
angles (deg): 90.00 90.00 90.00
Last column: nearest neighbours and their distance in Å.
Space group Pm-3m (No. 221)
Unique sites:
Sc 0.0000 0.0000 0.0000 [1 per cell]  6 Mn 2.33
Mn 0.0000 0.0000 0.5000 [3 per cell]  2 Sc 2.33
As 0.5000 0.5000 0.5000 [1 per cell]  12 Mn 3.29

The total magnetization comes out at 9.9 Bohr magnetons per cell.


Most stable structure: arrangement one


Arrangement one

Material: Sc3MnAs
Method: DFT, PBE-GGA
State: relaxed

a b c (Å): 4.7360 4.7360 4.7360
angles (deg): 90.00 90.00 90.00
Last column: nearest neighbours and their distance in Å.
Space group Pm-3m (No. 221)
Unique sites:
Sc 0.0000 0.0000 0.5000 [3 per cell]  2 Mn 2.37
Mn 0.0000 0.0000 0.0000 [1 per cell]  6 Sc 2.37
As 0.5000 0.5000 0.5000 [1 per cell]  12 Sc 3.35

The total magnetization comes out at 0.0 Bohr magnetons per cell.


Arrangement two

Material: Sc3MnAs
Method: DFT, PBE-GGA
State: relaxed

a b c (Å): 4.9634 4.9634 4.9634
angles (deg): 90.00 90.00 90.00
Last column: nearest neighbours and their distance in Å.
Space group Pm-3m (No. 221)
Unique sites:
Sc 0.0000 0.0000 0.5000 [3 per cell]  2 As 2.48
Mn 0.5000 0.5000 0.5000 [1 per cell]  12 Sc 3.51
As 0.0000 0.0000 0.0000 [1 per cell]  6 Sc 2.48

The total magnetization comes out at 0.4 Bohr magnetons per cell.


Most stable structure: arrangement one


Arrangement one

Material: ScMnAsSe2
Method: DFT, PBE-GGA
State: relaxed

a b c (Å): 4.8334 4.8334 4.6866
angles (deg): 90.00 90.00 90.00
Last column: nearest neighbours and their distance in Å.
Space group P4/mmm (No. 123)
Unique sites:
Sc 0.0000 0.0000 0.0000 [1 per cell]  8 Se 3.37, 4 As 3.42
Mn 0.5000 0.5000 0.5000 [1 per cell]  2 As 2.34, 4 Se 2.42
As 0.5000 0.5000 0.0000 [1 per cell]  2 Mn 2.34
Se 0.0000 0.5000 0.5000 [2 per cell]  2 Mn 2.42

The total magnetization comes out at 3.4 Bohr magnetons per cell.


Arrangement two

Material: ScMnAsSe2
Method: DFT, PBE-GGA
State: relaxed

a b c (Å): 5.0739 5.0739 5.0551
angles (deg): 90.00 90.00 90.00
Last column: nearest neighbours and their distance in Å.
Space group P4/mmm (No. 123)
Unique sites:
Sc 0.0000 0.0000 0.0000 [1 per cell]  2 As 2.53, 4 Se 2.54
Mn 0.5000 0.5000 0.5000 [1 per cell]  8 Se 3.58, 4 As 3.59
As 0.0000 0.0000 0.5000 [1 per cell]  2 Sc 2.53
Se 0.0000 0.5000 0.0000 [2 per cell]  2 Sc 2.54

The total magnetization comes out at 0.3 Bohr magnetons per cell.


Most stable structure: arrangement one


Arrangement one

Material: ScMnAs2Se
Method: DFT, PBE-GGA
State: relaxed

a b c (Å): 5.0886 5.0886 5.0833
angles (deg): 90.00 90.00 90.00
Last column: nearest neighbours and their distance in Å.
Space group P4/mmm (No. 123)
Unique sites:
Sc 0.0000 0.0000 0.0000 [1 per cell]  2 Se 2.54, 4 As 2.54
Mn 0.5000 0.5000 0.5000 [1 per cell]  8 As 3.60, 4 Se 3.60
As 0.0000 0.5000 0.0000 [2 per cell]  2 Sc 2.54
Se 0.0000 0.0000 0.5000 [1 per cell]  2 Sc 2.54

The total magnetization comes out at 4.4 Bohr magnetons per cell.


Arrangement two

Material: ScMnAs2Se
Method: DFT, PBE-GGA
State: relaxed

a b c (Å): 4.4194 4.4194 5.3395
angles (deg): 90.00 90.00 90.00
Last column: nearest neighbours and their distance in Å.
Space group P4/mmm (No. 123)
Unique sites:
Sc 0.0000 0.0000 0.0000 [1 per cell]  4 Se 3.12, 8 As 3.47
Mn 0.5000 0.5000 0.5000 [1 per cell]  4 As 2.21
As 0.0000 0.5000 0.5000 [2 per cell]  2 Mn 2.21
Se 0.5000 0.5000 0.0000 [1 per cell]  2 Mn 2.67

The total magnetization comes out at 0.1 Bohr magnetons per cell.


Most stable structure: arrangement two


Arrangement one

Material: MnAsSe4
Method: DFT, PBE-GGA
State: relaxed

a b c (Å): 13.1924 3.5940 6.3342
angles (deg): 90.00 98.33 90.00
Last column: nearest neighbours and their distance in Å.
Space group C2/m (No. 12)
Unique sites:
Mn 0.0000 0.0000 0.0000 [2 per cell]  6 Se 2.45-2.48
As 0.0000 0.5000 0.5000 [2 per cell]  6 Se 2.60-2.62
Se 0.1077 0.5000 0.8776 [4 per cell]  2 Mn 2.48, 1 As 2.60
Se 0.1127 0.0000 0.3437 [4 per cell]  1 Mn 2.45, 2 As 2.62

The total magnetization comes out at 4.5 Bohr magnetons per cell.


Arrangement two

Material: MnAsSe4
Method: DFT, PBE-GGA
State: relaxed

a b c (Å): 7.9976 7.9976 7.9976
angles (deg): 90.00 90.00 90.00
Last column: nearest neighbours and their distance in Å.
Space group F-43m (No. 216)
Unique sites:
Mn 0.0000 0.0000 0.0000 [4 per cell]  12 Se 3.31, 4 As 3.46
As 0.2500 0.2500 0.2500 [4 per cell]  12 Se 3.32, 4 Mn 3.46
Se 0.1254 0.1254 0.6254 [16 per cell]  6 Se 2.82-2.84

The total magnetization comes out at 17.6 Bohr magnetons per cell.


Most stable structure: arrangement one


Arrangement one

Material: MnSnAs2Se
Method: DFT, PBE-GGA
State: relaxed

a b c (Å): 4.5905 4.5905 5.3933
angles (deg): 90.00 90.00 90.00
Last column: nearest neighbours and their distance in Å.
Space group P4/mmm (No. 123)
Unique sites:
Mn 0.0000 0.0000 0.0000 [1 per cell]  4 As 2.30
Sn 0.5000 0.5000 0.5000 [1 per cell]  4 Se 3.25, 8 As 3.54
As 0.0000 0.5000 0.0000 [2 per cell]  2 Mn 2.30
Se 0.0000 0.0000 0.5000 [1 per cell]  2 Mn 2.70

The total magnetization comes out at 1.9 Bohr magnetons per cell.


Arrangement two

Material: MnSnAs2Se
Method: DFT, PBE-GGA
State: relaxed

a b c (Å): 5.1839 5.1839 4.9056
angles (deg): 90.00 90.00 90.00
Last column: nearest neighbours and their distance in Å.
Space group P4/mmm (No. 123)
Unique sites:
Mn 0.0000 0.0000 0.0000 [1 per cell]  2 Sn 2.45
Sn 0.0000 0.0000 0.5000 [1 per cell]  2 Mn 2.45, 4 As 2.59
As 0.0000 0.5000 0.5000 [2 per cell]  2 Sn 2.59
Se 0.5000 0.5000 0.0000 [1 per cell]  8 As 3.57, 4 Mn 3.67

The total magnetization comes out at 0.2 Bohr magnetons per cell.


Most stable structure: arrangement one


Arrangement one

Material: MnAs2WSe
Method: DFT, PBE-GGA
State: relaxed

a b c (Å): 4.5658 4.5658 4.8380
angles (deg): 90.00 90.00 90.00
Last column: nearest neighbours and their distance in Å.
Space group P4/mmm (No. 123)
Unique sites:
Mn 0.0000 0.0000 0.0000 [1 per cell]  4 As 2.28, 2 Se 2.42
As 0.0000 0.5000 0.0000 [2 per cell]  2 Mn 2.28
W 0.5000 0.5000 0.5000 [1 per cell]  4 Se 3.23, 8 As 3.33
Se 0.0000 0.0000 0.5000 [1 per cell]  2 Mn 2.42

The total magnetization comes out at 5.3 Bohr magnetons per cell.


Arrangement two

Material: MnAs2WSe
Method: DFT, PBE-GGA
State: relaxed

a b c (Å): 4.8820 4.8820 5.0379
angles (deg): 90.00 90.00 90.00
Last column: nearest neighbours and their distance in Å.
Space group P4/mmm (No. 123)
Unique sites:
Mn 0.0000 0.0000 0.0000 [1 per cell]  4 Se 3.45, 8 As 3.51
As 0.0000 0.5000 0.5000 [2 per cell]  2 W 2.44
W 0.5000 0.5000 0.5000 [1 per cell]  4 As 2.44, 2 Se 2.52
Se 0.5000 0.5000 0.0000 [1 per cell]  2 W 2.52

The total magnetization comes out at 5.2 Bohr magnetons per cell.


Most stable structure: arrangement two